Entry 1:
The following is a DFT calculation (GGA-PBE) of a relaxed PmPd2Au10 crystal.

Formation enthalpy at 0 K, eV per atom: -0.2339
Crystal system: orthorhombic

a b c (Å): 5.602 13.075 13.645
angles (deg): 90.00 90.00 90.00
Space group Fmmm (No. 69)
Inequivalent atoms, fractional coordinates:
Pm (0.000, 0.000, 0.000) [4 per cell]
Pd (0.250, 0.250, 0.000) [8 per cell]
Au (0.000, 0.108, 0.395) [16 per cell]
Au (0.000, 0.175, 0.167) [16 per cell]
Au (0.250, 0.000, 0.250) [8 per cell]

---

Entry 2:
The following is a DFT calculation (GGA-PBE) of a relaxed RbTcS2 crystal.

Distance to the lowest polymorph of the same formula, meV/atom: 413
Crystal system: trigonal

a b c (Å): 3.6598 3.6598 26.3749
angles (deg): 90.00 90.00 120.00
Space group R-3m (No. 166, hexagonal axes)
Inequivalent atoms, fractional coordinates:
Rb (0.0000, 0.0000, 0.0000) [3 per cell]
Tc (0.0000, 0.0000, 0.5000) [3 per cell]
S (0.0000, 0.0000, 0.1176) [6 per cell]

---

Entry 3:
The following is a DFT calculation (GGA-PBE) of a relaxed Hf4NiIr crystal.

Distance to the lowest polymorph of the same formula, meV/atom: 0
Formation enthalpy at 0 K, eV per atom: -0.4608
Crystal system: monoclinic

a b c (Å): 5.758 6.195 6.897
angles (deg): 90.00 107.13 90.00
Space group P2_1/m (No. 11)
Inequivalent atoms, fractional coordinates:
Hf (0.010, 0.002, 0.250) [4 per cell]
Hf (0.404, 0.750, 0.084) [2 per cell]
Hf (0.415, 0.750, 0.618) [2 per cell]
Ni (0.222, 0.250, 0.047) [2 per cell]
Ir (0.250, 0.250, 0.570) [2 per cell]

---

Entry 4:
The following is a DFT calculation (GGA-PBE) of a relaxed Sm2DyRu crystal.

Distance to the lowest polymorph of the same formula, meV/atom: 20
Formation enthalpy at 0 K, eV per atom: -0.2388
Crystal system: orthorhombic

a b c (Å): 3.988 12.005 9.269
angles (deg): 90.00 90.00 90.00
Space group Cmcm (No. 63)
Inequivalent atoms, fractional coordinates:
Sm (0.000, 0.142, 0.068) [8 per cell]
Dy (0.000, 0.421, 0.250) [4 per cell]
Ru (0.000, 0.242, 0.750) [4 per cell]

---

Here are the calculated volume numbers, same order: 999.4, 305.9, 235.1, 443.8 (Å³ per cell).
Here are the calculated N(E_F) numbers, same order: 5.0, 3.7, 5.0, 3.0 (states/eV/f.u.).
Here are the calculated magnetization numbers, same order: 0.0, 2.1, 0.0, 0.0 (μB/f.u.).